1.
Crystalline BaTa3Be at its relaxed geometry, computed with GGA-PBE.

Geometry as POSCAR:
```
BaTa3Be
1.0
-0.3831 -1.8402 4.3119
4.6876 -0.0848 0.3802
-0.0710 4.3281 1.8408
Ta Ba Be
3 1 1
Cartesian
2.3438 -0.0424 0.1901 Ta
-0.1915 -0.9201 2.1560 Ta
-0.0355 2.1640 0.9204 Ta
2.1168 1.2015 3.2665 Ba
0.0000 0.0000 0.0000 Be
```

---

2.
Crystalline Y2PuH at its relaxed geometry, computed with GGA-PBE.

Geometry as POSCAR:
```
Y2PuH
1.0
-0.2584 3.5320 0.3131
-1.7804 1.4169 2.7316
6.4207 1.7641 5.5834
Y Pu H
2 1 1
Cartesian
0.5009 1.6687 1.7745 Y
3.8810 5.0443 6.8537 Y
2.1910 3.3565 4.3141 Pu
0.0000 0.0000 0.0000 H
```

---

3.
Crystalline Ca2Ac12La5 at its relaxed geometry, computed with GGA-PBE.

Geometry as POSCAR:
```
Ca2Ac12La5
1.0
11.1324 0.0000 0.0000
-5.5662 8.4784 1.5564
0.0000 -1.3749 8.5771
Ac Ca La
12 2 5
Cartesian
5.5662 0.4900 2.7186 Ac
0.0000 6.6136 7.4148 Ac
2.5662 6.1411 4.5801 Ac
5.5662 5.7138 2.0703 Ac
8.1324 0.9624 5.5534 Ac
8.5146 3.0447 2.3652 Ac
0.0000 1.3897 8.0632 Ac
2.6178 3.0447 2.3652 Ac
-2.9484 4.0588 7.7683 Ac
3.0000 0.9624 5.5534 Ac
-2.5662 6.1411 4.5801 Ac
2.9484 4.0588 7.7683 Ac
8.4575 0.0000 0.0000 Ca
2.6749 0.0000 0.0000 Ca
0.0000 5.7876 1.8709 La
0.0000 3.4615 5.1147 La
0.0000 -0.6875 4.2885 La
5.5662 3.6421 5.0188 La
5.5662 1.3160 8.2626 La
```

---

4.
Crystalline CaMnBi3 at its relaxed geometry, computed with GGA-PBE.

Geometry as POSCAR:
```
CaMnBi3
1.0
-1.1473 -4.4064 2.6164
3.3709 1.3706 3.7864
-3.8600 2.5067 2.5290
Bi Ca Mn
3 1 1
Cartesian
-1.9300 1.2533 1.2645 Bi
-0.5736 -2.2032 1.3082 Bi
1.6855 0.6853 1.8932 Bi
-0.8182 -0.2646 4.4659 Ca
0.0000 0.0000 0.0000 Mn
```

---

5.
Crystalline Pr3Sm4Ho2 at its relaxed geometry, computed with GGA-PBE.

Geometry as POSCAR:
```
Pr3Sm4Ho2
1.0
3.6342 0.0000 0.0000
-1.8171 3.1473 0.0000
0.0000 0.0000 27.0686
Ho Pr Sm
2 3 4
Cartesian
1.8171 1.0491 23.6099 Ho
1.8171 1.0491 2.3974 Ho
1.8171 1.0491 17.7264 Pr
0.0000 0.0000 8.6730 Pr
0.0000 0.0000 26.6153 Pr
1.8171 1.0491 11.7743 Sm
0.0000 0.0000 20.7820 Sm
0.0000 0.0000 14.6787 Sm
1.8171 1.0491 5.7610 Sm
```

---

6.
Crystalline PuScCuAg at its relaxed geometry, computed with GGA-PBE.

Geometry as POSCAR:
```
PuScCuAg
1.0
-3.6607 -3.3016 -0.3033
1.0344 -4.7743 -0.7277
-0.6932 -3.2603 3.6446
Sc Cu Pu Ag
1 1 1 1
Cartesian
0.0000 0.0000 0.0000 Sc
-2.4896 -8.5022 1.9602 Cu
-1.6598 -5.6681 1.3068 Pu
-0.8299 -2.8341 0.6534 Ag
```

---

7.
Al2PbBr | Alexandria via LeMat-Bulk | GGA-PBE | optimized geometry; formation energy from raw total energies = 98 meV per atom
1.0
-1.9342 0.3729 -2.9319
0.2276 -4.9101 -0.7747
-4.9417 -0.7288 3.1674
Al Br Pb
2 1 1
Cartesian
-4.5515 -0.6713 2.9174 Al
-2.6097 -2.5276 -0.7275 Al
-1.8230 -0.2689 1.1685 Br
-5.0766 -2.8914 0.8537 Pb

---

8.
Crystalline UV2Sn at its relaxed geometry, computed with GGA-PBE.

Geometry as POSCAR:
```
UV2Sn
1.0
3.2033 0.0000 0.0000
1.6017 2.7742 0.0000
1.6017 0.9247 8.1125
V Sn U
2 1 1
Cartesian
1.6017 0.9247 1.8552 V
4.8050 2.7742 6.2573 V
3.2033 1.8495 4.0563 Sn
0.0000 0.0000 0.0000 U
```

---

no.,N(E_F) (states/eV/cell),E (Ry/atom),ρ (Mg/m³)
1,7.7,-0.51660,10.996
2,9.2,-0.56904,7.596
3,30.9,-0.29283,6.971
4,3.3,-0.32005,8.278
5,16.3,-0.34077,7.262
6,10.7,-0.50510,8.974
7,1.6,-0.22922,5.448
8,8.2,-0.58504,10.564